DFT (GGA-PBE) results for an optimized crystal structure of Mg3HIr6.

POSCAR file:
```
Mg3HIr6
1.0
4.202 0.000 -2.409
0.006 6.877 1.524
0.000 0.001 4.816
Mg Ir H
3 6 1
direct
0.422 0.786 0.221 Mg
0.113 0.795 0.563 Mg
0.766 0.139 0.096 Mg
0.106 0.145 0.775 Ir
0.780 0.468 0.330 Ir
0.439 0.464 0.686 Ir
0.431 0.156 0.434 Ir
0.767 0.795 0.889 Ir
0.081 0.463 0.989 Ir
0.759 0.987 0.563 H
```

- crystal system = triclinic
- energy above the lowest structure with this stoichiometry (eV/f.u.) = 0.00